SrTcMo: optimized geometry, PBE.

Cell lengths 4.8876, 4.8876, 2.8217 Å; angles 90.00, 90.00, 120.00 degrees
With the nearest neighbours (Å) after each atom.
Sites, in units of the cell vectors:
Tc: 0.3333 0.6667 0.7138  2 Tc 2.82, 3 Mo 2.90, 3 Sr 3.02
Mo: 0.0000 0.0000 0.9519  2 Mo 2.82, 3 Tc 2.90, 3 Sr 3.02
Sr: 0.6667 0.3333 0.3344  2 Sr 2.82, 3 Tc 3.02, 3 Mo 3.02

Values from the calculation:
- energy relative to the lowest polymorph listed for this composition (kJ/mol of formula units) = 199
- ΔE_f (eV/atom) = 1.0399
- raw total energy (eV per atom) = -6.59
- spin magnetization (μB per formula unit) = 0.00

Er3SiGe3: optimized geometry, PBE.

Cell lengths 4.2034, 5.7103, 13.3951 Å; angles 81.08, 80.97, 68.40 degrees
With the nearest neighbours (Å) after each atom.
Sites, in units of the cell vectors:
Ge: 0.1194 0.8374 0.9238  2 Ge 2.67-2.79, 5 Er 2.89-2.97
Ge: 0.8806 0.1626 0.0762  2 Ge 2.67-2.79, 5 Er 2.89-2.97
Ge: 0.0021 0.2205 0.7752  1 Si 2.60, 1 Ge 2.67
Ge: 0.8654 0.7333 0.5360  3 Si 2.60-2.70, 1 Ge 2.75
Ge: 0.9979 0.7795 0.2248  1 Si 2.60, 1 Ge 2.67
Ge: 0.1346 0.2667 0.4640  3 Si 2.60-2.70, 1 Ge 2.75
Si: 0.7832 0.0588 0.3748  4 Ge 2.60-2.70
Si: 0.2168 0.9412 0.6252  4 Ge 2.60-2.70
Er: 0.2738 0.2220 0.2303  2 Si 2.91, 6 Ge 2.95-3.16
Er: 0.4969 0.6305 0.3758  6 Ge 2.95-3.07, 3 Si 3.04-3.10
Er: 0.5031 0.3695 0.6242  6 Ge 2.95-3.07, 3 Si 3.04-3.10
Er: 0.6091 0.7070 0.0749  7 Ge 2.89-3.21
Er: 0.7262 0.7780 0.7697  2 Si 2.91, 6 Ge 2.95-3.16
Er: 0.3909 0.2930 0.9251  7 Ge 2.89-3.21

Values from the calculation:
- formation energy without anion corrections (eV per atom) = -0.687
- raw total energy (eV per atom) = -5.40
- spin magnetization (μB per formula unit) = 0.00

SrLiEu: optimized geometry, PBE.

Cell lengths 3.9340, 6.0535, 6.0535 Å; angles 120.00, 90.00, 90.00 degrees
With the nearest neighbours (Å) after each atom.
Sites, in units of the cell vectors:
Eu: 0.0586 0.0000 0.0000  3 Li 3.64, 3 Sr 3.90, 2 Eu 3.93
Sr: 0.6199 0.6667 0.3333  3 Li 3.69, 3 Eu 3.90, 2 Sr 3.93
Li: 0.3215 0.3333 0.6667  3 Eu 3.64, 3 Sr 3.69, 2 Li 3.93

Values from the calculation:
- energy relative to the lowest polymorph listed for this composition (kJ/mol of formula units) = 23
- ΔE_f (eV/atom) = 0.1266
- raw total energy (eV per atom) = -4.50
- spin magnetization (μB per formula unit) = 7.60

Na2CuO2: optimized geometry, PBE.

Cell lengths 6.6909, 6.6909, 2.6089 Å; angles 90.00, 90.00, 90.00 degrees
With the nearest neighbours (Å) after each atom.
Sites, in units of the cell vectors:
Na: 0.1268 0.3732 0.0000  6 O 2.28-2.43, 1 Na 2.40
Na: 0.8732 0.6268 0.0000  6 O 2.28-2.43, 1 Na 2.40
Na: 0.3732 0.8732 0.0000  6 O 2.28-2.43, 1 Na 2.40
Na: 0.6268 0.1268 0.0000  6 O 2.28-2.43, 1 Na 2.40
Cu: 0.0000 0.0000 0.0000  2 Cu 2.61, 4 Na 2.64, 8 O 2.79
Cu: 0.5000 0.5000 0.0000  2 Cu 2.61, 4 Na 2.64, 8 O 2.79
O: 0.8244 0.3244 0.5000  6 Na 2.28-2.43
O: 0.6756 0.8244 0.5000  6 Na 2.28-2.43
O: 0.1756 0.6756 0.5000  6 Na 2.28-2.43
O: 0.3244 0.1756 0.5000  6 Na 2.28-2.43

Values from the calculation:
- energy relative to the lowest polymorph listed for this composition (kJ/mol of formula units) = 355
- formation energy without anion corrections (eV per atom) = -0.330
- raw total energy (eV per atom) = -3.66
- spin magnetization (μB per formula unit) = 0.00

Copy entry 2 word for word.
Er3SiGe3: optimized geometry, PBE.

Cell lengths 4.2034, 5.7103, 13.3951 Å; angles 81.08, 80.97, 68.40 degrees
With the nearest neighbours (Å) after each atom.
Sites, in units of the cell vectors:
Ge: 0.1194 0.8374 0.9238  2 Ge 2.67-2.79, 5 Er 2.89-2.97
Ge: 0.8806 0.1626 0.0762  2 Ge 2.67-2.79, 5 Er 2.89-2.97
Ge: 0.0021 0.2205 0.7752  1 Si 2.60, 1 Ge 2.67
Ge: 0.8654 0.7333 0.5360  3 Si 2.60-2.70, 1 Ge 2.75
Ge: 0.9979 0.7795 0.2248  1 Si 2.60, 1 Ge 2.67
Ge: 0.1346 0.2667 0.4640  3 Si 2.60-2.70, 1 Ge 2.75
Si: 0.7832 0.0588 0.3748  4 Ge 2.60-2.70
Si: 0.2168 0.9412 0.6252  4 Ge 2.60-2.70
Er: 0.2738 0.2220 0.2303  2 Si 2.91, 6 Ge 2.95-3.16
Er: 0.4969 0.6305 0.3758  6 Ge 2.95-3.07, 3 Si 3.04-3.10
Er: 0.5031 0.3695 0.6242  6 Ge 2.95-3.07, 3 Si 3.04-3.10
Er: 0.6091 0.7070 0.0749  7 Ge 2.89-3.21
Er: 0.7262 0.7780 0.7697  2 Si 2.91, 6 Ge 2.95-3.16
Er: 0.3909 0.2930 0.9251  7 Ge 2.89-3.21

Values from the calculation:
- formation energy without anion corrections (eV per atom) = -0.687
- raw total energy (eV per atom) = -5.40
- spin magnetization (μB per formula unit) = 0.00

What is the raw total energy in the second record? -5.40 eV per atom

Look up the spin magnetization of the fourth one. 0.00 μB per formula unit